1.
This record from Alexandria describes a geometry-optimized BeTl3 structure. The functional is GGA-PBE.

abc: 5.371 5.371 3.673
angles: 90.00 90.00 90.00
Space group P4/mmm (No. 123)
Unique sites:
Be1 0.000 0.000 0.000 (multiplicity 1)
Tl1 0.000 0.500 0.500 (multiplicity 2)
Tl2 0.500 0.500 0.000 (multiplicity 1)

E_form: 574 meV/atom
DFT total energy: -2.132 eV per atom
Polymorph energy (0 for the lowest one): 0.2554 eV per atom

---

2.
This record from Alexandria describes a geometry-optimized PmOsW structure. The functional is GGA-PBE.

abc: 3.146 3.146 25.083
angles: 90.00 90.00 90.00
Space group I4/mmm (No. 139)
Unique sites:
Pm1 0.000 0.000 0.071 (multiplicity 4)
Os1 0.000 0.000 0.342 (multiplicity 4)
W1 0.000 0.000 0.215 (multiplicity 4)

E_form: 82 meV/atom
DFT total energy: -9.563 eV per atom
Polymorph energy (0 for the lowest one): 0.1047 eV per atom

---

3.
This record from Alexandria describes a geometry-optimized Tb2CeSe structure. The functional is GGA-PBE.

abc: 3.6888 3.6888 31.1963
angles: 90.00 90.00 120.00
Space group R-3m (No. 166, hexagonal axes)
Unique sites:
Tb1 0.0000 0.0000 0.1077 (multiplicity 6)
Ce1 0.0000 0.0000 0.0000 (multiplicity 3)
Se1 0.0000 0.0000 0.5000 (multiplicity 3)

ΔE_f (raw): -0.51 eV/atom
DFT total energy: -5.182 eV per atom
Polymorph energy (0 for the lowest one): 0.2170 eV per atom

---

4.
This record from Alexandria describes a geometry-optimized Rb3CePu2O9 structure. The functional is GGA-PBE.

abc: 6.1428 6.1428 7.5327
angles: 90.00 90.00 120.00
Space group P-3m1 (No. 164)
Unique sites:
Rb1 0.0000 0.0000 0.0000 (multiplicity 1)
Rb2 0.3333 0.6667 0.6640 (multiplicity 2)
Ce1 0.0000 0.0000 0.5000 (multiplicity 1)
Pu1 0.3333 0.6667 0.1625 (multiplicity 2)
O1 0.0000 0.5000 0.0000 (multiplicity 3)
O2 0.1735 0.3469 0.3233 (multiplicity 6)

ΔE_f (raw): -2.57 eV/atom
DFT total energy: -8.050 eV per atom

---

5.
This record from Alexandria describes a geometry-optimized Sm5Sb2H structure. The functional is GGA-PBE.

abc: 7.058 7.058 8.858
angles: 90.00 90.00 90.00
Space group I4mm (No. 107)
Unique sites:
Sm1 0.000 0.000 0.000 (multiplicity 2)
Sm2 0.249 0.249 0.754 (multiplicity 8)
Sb1 0.000 0.500 0.005 (multiplicity 4)
H1 0.000 0.000 0.735 (multiplicity 2)

DFT total energy: -4.934 eV per atom

---

6.
This record from Alexandria describes a geometry-optimized Nd8GaAg2 structure. The functional is GGA-PBE.

abc: 8.865 14.635 5.550
angles: 90.00 110.34 90.00
Space group Cm (No. 8)
Unique sites:
Nd1 0.000 0.000 0.000 (multiplicity 2)
Nd2 0.090 0.388 0.781 (multiplicity 4)
Nd3 0.187 0.112 0.600 (multiplicity 4)
Nd4 0.277 0.500 0.380 (multiplicity 2)
Nd5 0.388 0.223 0.190 (multiplicity 4)
Ga1 0.389 0.000 0.189 (multiplicity 2)
Ag1 0.389 0.307 0.691 (multiplicity 4)

E_form: -56 meV/atom
DFT total energy: -4.317 eV per atom
Polymorph energy (0 for the lowest one): 0.1057 eV per atom

---

Density of states at the Fermi level readings, ordered: 0.610, 0.708, 2.010, 0.602, 0.866, 1.412 states/eV per atom